1.
VASP calculation (SCAN) on CrCd2Si at its PBEsol-relaxed geometry.

Raw formation energy: 0.3003 eV per atom
DFT total energy: -22.0070 eV/atom

Cell and atoms, written as CIF:
```
data_CrCd2Si
_space_group_name_H-M_alt 'I m m 2'
_space_group_IT_number 44
_cell_length_a 3.727
_cell_length_b 4.327
_cell_length_c 8.521
_cell_angle_alpha 90.00
_cell_angle_beta 90.00
_cell_angle_gamma 90.00
loop_
_space_group_symop_operation_xyz
'x,y,z'
'-x,-y,z'
'-x,y,z'
'x,-y,z'
'x+1/2,y+1/2,z+1/2'
'-x+1/2,-y+1/2,z+1/2'
'-x+1/2,y+1/2,z+1/2'
'x+1/2,-y+1/2,z+1/2'
loop_
_atom_site_label
_atom_site_type_symbol
_atom_site_fract_x
_atom_site_fract_y
_atom_site_fract_z
Cr1 Cr 0.000 0.000 0.000
Cd1 Cd 0.000 0.000 0.455
Cd2 Cd 0.000 0.500 0.231
Si1 Si 0.000 0.500 0.692
```

=====

2.
VASP calculation (SCAN) on CrCdSi2 at its PBEsol-relaxed geometry.

Raw formation energy: 0.1604 eV per atom
DFT total energy: -17.0472 eV/atom

Cell and atoms, written as CIF:
```
data_CrCdSi2
_space_group_name_H-M_alt 'C 1 m 1'
_space_group_IT_number 8
_cell_length_a 7.826
_cell_length_b 3.096
_cell_length_c 6.074
_cell_angle_alpha 90.00
_cell_angle_beta 121.55
_cell_angle_gamma 90.00
loop_
_space_group_symop_operation_xyz
'x,y,z'
'x,-y,z'
'x+1/2,y+1/2,z'
'x+1/2,-y+1/2,z'
loop_
_atom_site_label
_atom_site_type_symbol
_atom_site_fract_x
_atom_site_fract_y
_atom_site_fract_z
Cr1 Cr 0.000 0.000 0.000
Cd1 Cd 0.246 0.000 0.527
Si1 Si 0.148 0.500 0.849
Si2 Si 0.372 0.000 0.180
```

=====

Number 2 is which compound?
CrCdSi2

=====

Look up the raw formation energy of the second one.
0.1604 eV per atom

=====

Which value of raw formation energy does entry 1 give?
0.3003 eV per atom